SrPa2AgO8 | Alexandria via LeMat-Bulk | PBE-GGA | relaxed; energy relative to the elements, uncorrected = -2.1429 eV per atom; density = 7.4 g/cm3; total magnetic moment = 0.00 μB/cell; V = 14.7 Å³ per atom; Fermi-level density of states = 2.85 states/eV/cell; space group = P-3m1 (164)
1.0
-0.1849 -3.4225 -4.3640
4.5232 3.0796 0.9211
2.5545 -4.8595 3.7029
Sr Pa Ag O
1 2 1 8
Cartesian
1.2772 -2.4297 1.8514 Sr
1.6745 -1.8068 -2.1819 Pa
5.2183 -3.3955 2.4419 Pa
0.0000 0.0000 0.0000 Ag
4.8709 -4.9084 0.1151 O
2.8921 -4.7520 1.6854 O
2.8078 -6.3130 -0.3050 O
2.0219 -0.2940 0.1449 O
4.0007 -0.4504 -1.4254 O
4.0850 1.1106 0.5651 O
2.4011 -3.1890 -1.1286 O
4.4917 -2.0133 1.3887 O